(1)
# MgP2PdPb, optimized geometry, DFT GGA-PBE
data_MgP2PdPb
_cell_length_a 5.188
_cell_length_b 5.272
_cell_length_c 5.188
_cell_angle_alpha 90.00
_cell_angle_beta 90.00
_cell_angle_gamma 90.00
_space_group_name_H-M_alt 'P 1'
_space_group_IT_number 1
_space_group_name_Hall 'P 1'
loop_
_atom_site_label
_atom_site_type_symbol
_atom_site_fract_x
_atom_site_fract_y
_atom_site_fract_z
_atom_site_occupancy
P1 P 0.000 0.000 0.500 1
P2 P 0.500 0.000 0.000 1
Mg1 Mg 0.000 0.500 0.000 1
Pb1 Pb 0.000 0.000 0.000 1
Pd1 Pd 0.500 0.500 0.500 1
# Crystal system: tetragonal
# Energy of formation (eV/f.u.): 6.5
# Space group: No. 123
# V (Å³ per atom): 28.381

(2)
# ZrZn4Sb, optimized geometry, DFT GGA-PBE
data_ZrZn4Sb
_cell_length_a 5.338
_cell_length_b 5.338
_cell_length_c 5.338
_cell_angle_alpha 60.00
_cell_angle_beta 60.00
_cell_angle_gamma 60.00
_space_group_name_H-M_alt 'P 1'
_space_group_IT_number 1
_space_group_name_Hall 'P 1'
loop_
_atom_site_label
_atom_site_type_symbol
_atom_site_fract_x
_atom_site_fract_y
_atom_site_fract_z
_atom_site_occupancy
Zn1 Zn 0.624 0.129 0.624 1
Zn2 Zn 0.624 0.624 0.624 1
Zn3 Zn 0.129 0.624 0.624 1
Zn4 Zn 0.624 0.624 0.129 1
Sb1 Sb 0.000 0.000 0.000 1
Zr1 Zr 0.250 0.250 0.250 1
# Crystal system: cubic
# Space group: No. 216
# Uncorrected formation energy (eV/atom): -0.0057
# V (Å³ per atom): 17.922

(3)
# SnHCl2, optimized geometry, DFT GGA-PBE
data_SnHCl2
_cell_length_a 4.932
_cell_length_b 4.932
_cell_length_c 4.932
_cell_angle_alpha 60.00
_cell_angle_beta 60.00
_cell_angle_gamma 60.00
_space_group_name_H-M_alt 'P 1'
_space_group_IT_number 1
_space_group_name_Hall 'P 1'
loop_
_atom_site_label
_atom_site_type_symbol
_atom_site_fract_x
_atom_site_fract_y
_atom_site_fract_z
_atom_site_occupancy
Cl1 Cl 0.250 0.250 0.250 1
Cl2 Cl 0.750 0.750 0.750 1
Sn1 Sn 0.500 0.500 0.500 1
H1 H 0.000 0.000 0.000 1
# Crystal system: cubic
# Space group: No. 225
# Excess energy over the best structure of this formula in the dataset (meV per atom): 304
# V (Å³ per atom): 21.208

(4)
# SrTl, optimized geometry, DFT GGA-PBE
data_SrTl
_cell_length_a 7.596
_cell_length_b 7.596
_cell_length_c 7.596
_cell_angle_alpha 90.00
_cell_angle_beta 90.00
_cell_angle_gamma 90.00
_space_group_name_H-M_alt 'P 1'
_space_group_IT_number 1
_space_group_name_Hall 'P 1'
loop_
_atom_site_label
_atom_site_type_symbol
_atom_site_fract_x
_atom_site_fract_y
_atom_site_fract_z
_atom_site_occupancy
Sr1 Sr 0.250 0.750 0.750 1
Sr2 Sr 0.750 0.250 0.750 1
Sr3 Sr 0.750 0.750 0.250 1
Sr4 Sr 0.250 0.250 0.250 1
Tl1 Tl 0.000 0.500 0.500 1
Tl2 Tl 0.000 0.000 0.000 1
Tl3 Tl 0.500 0.500 0.000 1
Tl4 Tl 0.500 0.000 0.500 1
# Crystal system: cubic
# Energy of formation (eV/f.u.): 0.6
# Space group: No. 216
# V (Å³ per atom): 54.783

Calculated spin magnetization (μB/f.u.), listed in the same order as above: 0.0; 0.0; 1.0; 0.0
Calculated uncorrected energy (eV per atom), listed in the same order as above: -2.956; -2.967; -2.910; -1.722